# 1
# GaGe3P

A relaxed GaGe3P crystal (PBE, Alexandria via LeMat-Bulk).

Properties
Size of the total moment = 0.000 μB/cell
ΔH_f (0 K) = 0.85 eV per atom
Density = 4.58 g/cm3
Symmetry = No. 221
Crystal system = cubic

```
GaGe3P
1.0
-1.606 3.876 2.471
-4.540 -1.748 -0.209
0.721 -2.373 4.190
Ge Ga P
3 1 1
Direct
0.000 0.500 0.000
0.000 0.000 0.500
0.500 0.000 0.000
0.000 0.000 0.000
0.500 0.500 0.500
```

# 2
# LiTl4Cu

A relaxed LiTl4Cu crystal (PBE, Alexandria via LeMat-Bulk).

Properties
Size of the total moment = 0.000 μB/cell
ΔH_f (0 K) = 0.37 eV per atom
Density = 8.24 g/cm3
Symmetry = No. 216
Crystal system = cubic

```
LiTl4Cu
1.0
0.000 4.472 4.472
4.472 0.000 4.472
4.472 4.472 0.000
Cu Li Tl
1 1 4
Direct
0.750 0.750 0.750
0.000 0.000 0.000
0.375 0.375 0.874
0.375 0.874 0.375
0.874 0.375 0.375
0.375 0.375 0.375
```

# 3
# FeBiSbI2

A relaxed FeBiSbI2 crystal (PBE, Alexandria via LeMat-Bulk).

Properties
Size of the total moment = 3.409 μB/cell
Uncorrected formation energy = 0.98 eV/atom
Density = 4.68 g/cm3
Symmetry = No. 123
Crystal system = tetragonal

```
FeBiSbI2
1.0
6.150 0.000 0.000
0.000 6.150 0.000
0.000 0.000 6.006
I Fe Bi Sb
2 1 1 1
Direct
0.500 0.000 0.000
0.000 0.500 0.000
0.500 0.500 0.500
0.000 0.000 0.000
0.000 0.000 0.500
```